# Na2AlH4ClO4

Na2AlH4ClO4 after structural relaxation (PBEsol, the Alexandria database).

## Properties
VASP energy: -5.2706 eV per atom
crystal system: tetragonal

abc: 7.5401 7.5401 4.9474
angles: 90.00 90.00 90.00
Sites, in units of the cell vectors:
Na 0.0000 0.0000 0.0000
Na 0.0000 0.5000 0.0000
Na 0.5000 0.0000 0.0000
Na 0.5000 0.5000 0.0000
Al 0.2500 0.7500 0.5000
Al 0.7500 0.2500 0.5000
H 0.0440 0.2500 0.3982
H 0.2500 0.0440 0.3982
H 0.2500 0.4560 0.3982
H 0.4560 0.2500 0.3982
H 0.5440 0.7500 0.6018
H 0.7500 0.5440 0.6018
H 0.7500 0.9560 0.6018
H 0.9560 0.7500 0.6018
Cl 0.2500 0.2500 0.7138
Cl 0.7500 0.7500 0.2862
O 0.0628 0.7500 0.7172
O 0.2500 0.5628 0.2828
O 0.2500 0.9372 0.2828
O 0.4372 0.7500 0.7172
O 0.5628 0.2500 0.2828
O 0.7500 0.0628 0.7172
O 0.7500 0.4372 0.7172
O 0.9372 0.2500 0.2828